[1]
DFT (PBE) results for LaCuRu2 after structural relaxation. Values from VASP.

Structure (Quantum ESPRESSO input):
```
&SYSTEM
  ibrav = 0, nat = 4, ntyp = 3
/
ATOMIC_SPECIES
La 138.91 La.upf
Ru 101.07 Ru.upf
Cu 63.55 Cu.upf
CELL_PARAMETERS angstrom
4.468 0.000 0.000
0.000 2.982 0.029
0.000 0.423 5.248
ATOMIC_POSITIONS crystal
La 0.500 0.750 0.750
Ru 0.000 0.465 0.459
Ru 0.000 0.035 0.041
Cu 0.500 0.250 0.250
```

Output
* crystal system: monoclinic


[2]
DFT (PBE) results for La3CuRu after structural relaxation. Values from VASP.

Structure (Quantum ESPRESSO input):
```
&SYSTEM
  ibrav = 0, nat = 20, ntyp = 3
/
ATOMIC_SPECIES
Cu 63.55 Cu.upf
La 138.91 La.upf
Ru 101.07 Ru.upf
CELL_PARAMETERS angstrom
-6.150 2.454 0.111
-3.048 -7.514 -2.775
0.311 0.317 10.240
ATOMIC_POSITIONS crystal
Cu 0.817 0.000 0.500
La 0.500 0.117 0.820
La 0.000 0.240 0.965
La 0.000 0.170 0.304
Ru 0.239 0.500 0.500
La 0.500 0.670 0.804
Cu 0.317 0.500 0.000
Ru 0.761 0.500 0.500
Ru 0.739 0.000 0.000
La 0.000 0.760 0.035
La 0.000 0.383 0.680
La 0.500 0.883 0.180
La 0.000 0.830 0.696
La 0.500 0.330 0.196
La 0.500 0.740 0.465
Ru 0.261 0.000 0.000
Cu 0.683 0.500 0.000
La 0.500 0.260 0.535
La 0.000 0.617 0.320
Cu 0.183 0.000 0.500
```

Output
* crystal system: monoclinic


[3]
DFT (PBE) results for LaCuRu2 after structural relaxation. Values from VASP.

Structure (Quantum ESPRESSO input):
```
&SYSTEM
  ibrav = 0, nat = 4, ntyp = 3
/
ATOMIC_SPECIES
Ru 101.07 Ru.upf
Cu 63.55 Cu.upf
La 138.91 La.upf
CELL_PARAMETERS angstrom
0.000 3.248 3.248
3.248 0.000 3.248
3.248 3.248 0.000
ATOMIC_POSITIONS crystal
Ru 0.250 0.250 0.250
Ru 0.750 0.750 0.750
Cu 0.000 0.000 0.000
La 0.500 0.500 0.500
```

Output
* crystal system: cubic


[4]
DFT (PBE) results for LaCu2Ru2 after structural relaxation. Values from VASP.

Structure (Quantum ESPRESSO input):
```
&SYSTEM
  ibrav = 0, nat = 10, ntyp = 3
/
ATOMIC_SPECIES
Ru 101.07 Ru.upf
Cu 63.55 Cu.upf
La 138.91 La.upf
CELL_PARAMETERS angstrom
-0.111 4.203 6.403
-7.659 -0.003 -0.131
-0.025 -2.337 1.534
ATOMIC_POSITIONS crystal
Ru 0.622 0.878 0.500
Cu 0.332 0.832 0.000
La 0.500 0.500 0.000
Ru 0.878 0.378 0.500
Cu 0.832 0.668 0.000
Cu 0.668 0.168 0.000
Ru 0.378 0.122 0.500
La 0.000 0.000 0.000
Ru 0.122 0.622 0.500
Cu 0.168 0.332 0.000
```

Output
* crystal system: tetragonal


[5]
DFT (PBE) results for LaCuRu after structural relaxation. Values from VASP.

Structure (Quantum ESPRESSO input):
```
&SYSTEM
  ibrav = 0, nat = 3, ntyp = 3
/
ATOMIC_SPECIES
La 138.91 La.upf
Ru 101.07 Ru.upf
Cu 63.55 Cu.upf
CELL_PARAMETERS angstrom
4.547 0.000 0.000
2.273 3.938 0.000
2.273 1.313 3.713
ATOMIC_POSITIONS crystal
La 0.750 0.750 0.750
Ru 0.000 0.000 0.000
Cu 0.500 0.500 0.500
```

Output
* crystal system: cubic


[6]
DFT (PBE) results for LaCuRu2 after structural relaxation. Values from VASP.

Structure (Quantum ESPRESSO input):
```
&SYSTEM
  ibrav = 0, nat = 4, ntyp = 3
/
ATOMIC_SPECIES
Cu 63.55 Cu.upf
La 138.91 La.upf
Ru 101.07 Ru.upf
CELL_PARAMETERS angstrom
-9.453 -1.270 -1.298
-9.037 -3.229 0.756
-9.502 -0.487 1.462
ATOMIC_POSITIONS crystal
Cu 0.250 0.250 0.250
La 0.750 0.750 0.750
Ru 0.988 0.988 0.988
Ru 0.512 0.512 0.512
```

Output
* crystal system: trigonal


[7]
DFT (PBE) results for LaCuRu2 after structural relaxation. Values from VASP.

Structure (Quantum ESPRESSO input):
```
&SYSTEM
  ibrav = 0, nat = 8, ntyp = 3
/
ATOMIC_SPECIES
Ru 101.07 Ru.upf
Cu 63.55 Cu.upf
La 138.91 La.upf
CELL_PARAMETERS angstrom
-2.645 -3.204 -1.054
2.816 -2.835 1.551
-3.814 -2.463 8.346
ATOMIC_POSITIONS crystal
Ru 0.504 0.125 0.250
Cu 0.250 0.750 0.500
Ru 0.375 0.496 0.750
Cu 0.500 0.500 0.000
Ru 0.246 0.625 0.250
La 0.000 0.000 0.000
La 0.750 0.250 0.500
Ru 0.875 0.754 0.750
```

Output
* crystal system: tetragonal


[8]
DFT (PBE) results for LaCu2Ru2 after structural relaxation. Values from VASP.

Structure (Quantum ESPRESSO input):
```
&SYSTEM
  ibrav = 0, nat = 5, ntyp = 3
/
ATOMIC_SPECIES
Cu 63.55 Cu.upf
Ru 101.07 Ru.upf
La 138.91 La.upf
CELL_PARAMETERS angstrom
-2.852 -2.549 0.370
1.269 -0.910 3.511
-4.234 2.461 4.271
ATOMIC_POSITIONS crystal
Cu 0.396 0.396 0.209
Ru 0.250 0.750 0.500
La 0.000 0.000 0.000
Ru 0.750 0.250 0.500
Cu 0.604 0.604 0.791
```

Output
* crystal system: tetragonal


Number 1: ΔE to the lowest computed polymorph 358 meV per atom. Number 2: ΔE to the lowest computed polymorph 0 meV per atom. Number 3: ΔE to the lowest computed polymorph 394 meV per atom. Number 4: ΔE to the lowest computed polymorph 144 meV per atom. Number 5: ΔE to the lowest computed polymorph 892 meV per atom. Number 6: ΔE to the lowest computed polymorph 720 meV per atom. Number 7: ΔE to the lowest computed polymorph 352 meV per atom. Number 8: ΔE to the lowest computed polymorph 0 meV per atom.